(1)
ZrBe2Mo: relaxed, PBE.

Properties
DFT total energy (eV/atom): -6.09
M_tot (Bohr magnetons per cell): 0.0
Formation energy (eV/f.u.): 2.5
Symmetry: I-42d

a b c (Å): 3.978 3.978 8.743
angles (deg): 76.85 76.85 90.00
Atoms (fractional coordinates):
Be 0.796 0.125 0.250
Be 0.954 0.625 0.250
Be 0.375 0.204 0.750
Be 0.875 0.046 0.750
Mo 0.000 0.000 0.000
Mo 0.750 0.250 0.500
Zr 0.500 0.500 0.000
Zr 0.250 0.750 0.500

=====

(2)
ZrBeMo2: relaxed, PBE.

Properties
DFT total energy (eV/atom): -8.29
M_tot (Bohr magnetons per cell): 0.0
Formation energy (eV/f.u.): 0.8
Symmetry: P4/mmm

a b c (Å): 2.722 2.722 8.434
angles (deg): 90.00 90.00 90.00
Atoms (fractional coordinates):
Be 0.500 0.500 0.750
Mo 0.000 0.000 0.950
Mo 0.000 0.000 0.550
Zr 0.500 0.500 0.250

=====

(3)
Zr2Be9Mo: relaxed, PBE.

Properties
DFT total energy (eV/atom): -5.27
M_tot (Bohr magnetons per cell): 0.0
Formation energy (eV/f.u.): -1.8
Symmetry: R-3m

a b c (Å): 4.590 4.590 7.718
angles (deg): 72.70 72.70 60.00
Atoms (fractional coordinates):
Zr 0.862 0.862 0.413
Zr 0.138 0.138 0.587
Be 0.666 0.666 0.001
Be 0.334 0.334 0.999
Be 0.500 0.500 0.500
Be 0.423 0.423 0.228
Be 0.926 0.423 0.228
Be 0.423 0.926 0.228
Be 0.577 0.577 0.772
Be 0.577 0.074 0.772
Be 0.074 0.577 0.772
Mo 0.000 0.000 0.000

=====

(4)
ZrBeMo2: relaxed, PBE.

Properties
DFT total energy (eV/atom): -8.25
M_tot (Bohr magnetons per cell): 0.0
Formation energy (eV/f.u.): 0.9
Symmetry: P4mm

a b c (Å): 2.724 2.724 8.462
angles (deg): 90.00 90.00 90.00
Atoms (fractional coordinates):
Be 0.500 0.500 0.766
Mo 0.000 0.000 0.963
Mo 0.500 0.500 0.237
Zr 0.000 0.000 0.534

=====

(5)
ZrBe2Mo: relaxed, PBE.

Properties
DFT total energy (eV/atom): -6.66
M_tot (Bohr magnetons per cell): 0.0
Formation energy (eV/f.u.): 0.2
Symmetry: P4/mmm

a b c (Å): 3.971 3.977 3.532
angles (deg): 90.00 90.00 90.00
Atoms (fractional coordinates):
Be 0.000 0.000 0.000
Be 0.500 0.500 0.000
Mo 0.500 0.000 0.500
Zr 0.000 0.500 0.500

=====

(6)
ZrBeMo: relaxed, PBE.

Properties
DFT total energy (eV/atom): -7.56
M_tot (Bohr magnetons per cell): 0.0
Formation energy (eV/f.u.): 0.4
Symmetry: I4mm

a b c (Å): 6.356 6.356 6.356
angles (deg): 154.74 154.74 36.03
Atoms (fractional coordinates):
Be 0.992 0.992 0.000
Mo 0.358 0.358 0.000
Zr 0.651 0.651 0.000